## SrSm2Tl3 (PBE)

Data for crystalline SrSm2Tl3 at its relaxed geometry.

Summary:
ΔH_f (0 K) ... -0.385 eV/atom
Volume ... 30.590 Å³/atom
Size of the total moment ... 0.00 μB/f.u.

CIF file:
```
data_SrSm2Tl3
_space_group_name_H-M_alt 'P 4/m m m'
_space_group_IT_number 123
_space_group_name_Hall '-P 4 2'
_cell_length_a 3.9155
_cell_length_b 3.9155
_cell_length_c 11.9718
_cell_angle_alpha 90.00
_cell_angle_beta 90.00
_cell_angle_gamma 90.00
loop_
_atom_site_label
_atom_site_type_symbol
_atom_site_fract_x
_atom_site_fract_y
_atom_site_fract_z
Sr1 Sr 0.0000 0.0000 0.0000
Sm1 Sm 0.0000 0.0000 0.3382
Tl1 Tl 0.5000 0.5000 0.1829
Tl2 Tl 0.5000 0.5000 0.5000
```

***

## AlGaPd (PBE)

Data for crystalline AlGaPd at its relaxed geometry.

Summary:
ΔH_f (0 K) ... -0.336 eV/atom
Volume ... 15.867 Å³/atom
Size of the total moment ... 0.00 μB/f.u.

CIF file:
```
data_AlGaPd
_space_group_name_H-M_alt 'P 3 m 1'
_space_group_IT_number 156
_space_group_name_Hall 'P 3 -2"'
_cell_length_a 4.4171
_cell_length_b 4.4171
_cell_length_c 2.8172
_cell_angle_alpha 90.00
_cell_angle_beta 90.00
_cell_angle_gamma 120.00
loop_
_atom_site_label
_atom_site_type_symbol
_atom_site_fract_x
_atom_site_fract_y
_atom_site_fract_z
Al1 Al 0.0000 0.0000 0.0000
Ga1 Ga 0.3333 0.6667 0.4989
Pd1 Pd 0.6667 0.3333 0.5038
```

***

## CePu2Al (PBE)

Data for crystalline CePu2Al at its relaxed geometry.

Summary:
ΔH_f (0 K) ... -0.108 eV/atom
Offset from the most stable computed form ... 0.000 eV/atom
Volume ... 24.450 Å³/atom
Size of the total moment ... 12.28 μB/f.u.

CIF file:
```
data_CePu2Al
_space_group_name_H-M_alt 'P 4/m m m'
_space_group_IT_number 123
_space_group_name_Hall '-P 4 2'
_cell_length_a 4.5645
_cell_length_b 4.5645
_cell_length_c 4.6942
_cell_angle_alpha 90.00
_cell_angle_beta 90.00
_cell_angle_gamma 90.00
loop_
_atom_site_label
_atom_site_type_symbol
_atom_site_fract_x
_atom_site_fract_y
_atom_site_fract_z
Ce1 Ce 0.0000 0.0000 0.0000
Pu1 Pu 0.0000 0.5000 0.5000
Al1 Al 0.5000 0.5000 0.0000
```

***

## La2Pm3In3 (PBE)

Data for crystalline La2Pm3In3 at its relaxed geometry.

Summary:
ΔH_f (0 K) ... -0.365 eV/atom
Volume ... 30.334 Å³/atom
Size of the total moment ... 0.00 μB/f.u.

CIF file:
```
data_La2Pm3In3
_space_group_name_H-M_alt 'I m m m'
_space_group_IT_number 71
_space_group_name_Hall '-I 2 2'
_cell_length_a 4.5878
_cell_length_b 5.0202
_cell_length_c 21.0732
_cell_angle_alpha 90.00
_cell_angle_beta 90.00
_cell_angle_gamma 90.00
loop_
_atom_site_label
_atom_site_type_symbol
_atom_site_fract_x
_atom_site_fract_y
_atom_site_fract_z
La1 La 0.0000 0.0000 0.2380
Pm1 Pm 0.0000 0.0000 0.0000
Pm2 Pm 0.0000 0.5000 0.1173
In1 In 0.0000 0.0000 0.5000
In2 In 0.0000 0.5000 0.3782
```

***

## PaCuSi2 (PBE)

Data for crystalline PaCuSi2 at its relaxed geometry.

Summary:
Volume ... 27.712 Å³/atom
Formation energy from raw total energies ... 2.66 eV per formula unit
Size of the total moment ... 0.33 μB/f.u.

CIF file:
```
data_PaCuSi2
_space_group_name_H-M_alt 'R -3 m'
_space_group_IT_number 166
_space_group_name_Hall '-R 3 2"'
_cell_length_a 4.7202
_cell_length_b 4.7202
_cell_length_c 17.2345
_cell_angle_alpha 90.00
_cell_angle_beta 90.00
_cell_angle_gamma 120.00
loop_
_atom_site_label
_atom_site_type_symbol
_atom_site_fract_x
_atom_site_fract_y
_atom_site_fract_z
Pa1 Pa 0.0000 0.0000 0.0000
Cu1 Cu 0.0000 0.0000 0.5000
Si1 Si 0.0000 0.0000 0.3705
```

***

## TlGe4Se7 (PBE)

Data for crystalline TlGe4Se7 at its relaxed geometry.

Summary:
Volume ... 31.397 Å³/atom
Formation energy from raw total energies ... -2.77 eV per formula unit
Size of the total moment ... 0.00 μB/f.u.

CIF file:
```
data_TlGe4Se7
_space_group_name_H-M_alt 'P m n 21'
_space_group_IT_number 31
_space_group_name_Hall 'P 2ac -2'
_cell_length_a 15.6200
_cell_length_b 6.4398
_cell_length_c 7.4911
_cell_angle_alpha 90.00
_cell_angle_beta 90.00
_cell_angle_gamma 90.00
loop_
_atom_site_label
_atom_site_type_symbol
_atom_site_fract_x
_atom_site_fract_y
_atom_site_fract_z
Tl1 Tl 0.0000 0.1893 0.0000
Ge1 Ge 0.1218 0.6950 0.2214
Ge2 Ge 0.2391 0.7757 0.7111
Se1 Se 0.0000 0.8704 0.3608
Se2 Se 0.1041 0.7056 0.9057
Se3 Se 0.1219 0.3515 0.3435
Se4 Se 0.2470 0.1430 0.8186
```